P.
DyCdPd6 | the Alexandria database | PBE | optimized geometry; D(E_F) = 0.498 states/eV per atom; space-group type = R-3m
1.0
3.6658 2.1165 3.4518
-3.6658 2.1165 3.4518
0.0000 -4.2329 3.4518
Dy Cd Pd
1 1 6
Direct
0.0000 0.0000 0.0000 Dy
0.5000 0.5000 0.5000 Cd
0.1604 0.1604 0.5314 Pd
0.1604 0.5314 0.1604 Pd
0.4686 0.8396 0.8396 Pd
0.5314 0.1604 0.1604 Pd
0.8396 0.4686 0.8396 Pd
0.8396 0.8396 0.4686 Pd

=====

Q.
DyCdPd6 | the Alexandria database | PBE | optimized geometry; D(E_F) = 1.164 states/eV per atom; space-group type = P4/mmm
1.0
4.0714 0.0000 0.0000
0.0000 4.0714 0.0000
0.0000 0.0000 8.1923
Dy Cd Pd
1 1 6
Direct
0.0000 0.0000 0.0000 Dy
0.0000 0.0000 0.5000 Cd
0.0000 0.5000 0.2540 Pd
0.0000 0.5000 0.7460 Pd
0.5000 0.0000 0.2540 Pd
0.5000 0.0000 0.7460 Pd
0.5000 0.5000 0.0000 Pd
0.5000 0.5000 0.5000 Pd

=====

Which is most stable, and by how much? Q, by 0.464 eV/atom.